# RuRh2Br

An optimized crystal structure of RuRh2Br (PBE-GGA, Alexandria via LeMat-Bulk).

a b c (Å): 5.3483 5.3483 5.3483
angles (deg): 148.74 128.17 61.79
Last column: nearest neighbours and their distance in Å.
Fractional coordinates of all 4 atoms:
1 Ru 0.0000 0.0000 0.0000  4 Rh 2.74, 4 Br 2.75, 2 Ru 2.88
2 Rh 0.2544 0.7544 0.5000  2 Br 2.68, 2 Ru 2.74, 6 Rh 2.75-2.88
3 Rh 0.7456 0.2456 0.5000  2 Br 2.68, 2 Ru 2.74, 6 Rh 2.75-2.88
4 Br 0.5000 0.5000 0.0000  4 Rh 2.68, 4 Ru 2.75, 2 Br 2.88

distance to the lowest polymorph of the same formula = 0.264 eV per atom
space-group type = No. 71
DOS(E_F) = 5.67 states/eV/cell
formation energy from raw total energies = 0.700 eV per atom
E_tot = -5.71 eV/atom